Here is an optimized crystal structure of Ta2TlO7 from Alexandria via LeMat-Bulk. Energies are from PBE-GGA.

abc: 6.073 6.073 3.827
angles: 90.00 90.00 116.32
Positions (direct):
1 Ta 0.196 0.804 0.000
2 Ta 0.804 0.196 0.000
3 Tl 0.500 0.500 0.500
4 O 0.000 0.000 0.000
5 O 0.173 0.442 0.000
6 O 0.216 0.784 0.500
7 O 0.442 0.173 0.000
8 O 0.558 0.827 0.000
9 O 0.784 0.216 0.500
10 O 0.827 0.558 0.000

Results
* formation energy from raw total energies: -1922 meV per atom
* space-group type: Cmmm (65)
* total magnetic moment: 1.1 Bohr magnetons per cell
* D(E_F): 1.60 states/eV/f.u.